[1]
A plane-wave DFT calculation with PBE-GGA was carried out for crystalline Mg5Rh2 at its relaxed geometry.

Properties
excess energy over the best structure of this formula in the dataset: 37 meV/atom
VASP energy: -50.3 eV/cell
formation energy from the elements: -0.3558 eV/atom

Cell lengths 5.747, 6.726, 7.899 Å; angles 115.20, 111.33, 90.00 degrees
Atoms (fractional coordinates):
1 Mg 0.082 0.236 0.164
2 Mg 0.918 0.764 0.836
3 Mg 0.582 0.928 0.164
4 Mg 0.418 0.072 0.836
5 Mg 0.483 0.733 0.465
6 Mg 0.017 0.267 0.535
7 Mg 0.517 0.267 0.535
8 Mg 0.983 0.733 0.465
9 Mg 0.750 0.500 0.000
10 Mg 0.250 0.500 0.000
11 Rh 0.377 0.641 0.753
12 Rh 0.623 0.359 0.247
13 Rh 0.877 0.112 0.753
14 Rh 0.123 0.888 0.247

---

[2]
A plane-wave DFT calculation with PBE-GGA was carried out for crystalline RbBaN2 at its relaxed geometry.

Properties
raw formation energy: 0.8291 eV per atom
excess energy over the best structure of this formula in the dataset: 26 meV/atom
VASP energy: -32.4 eV/cell

Cell lengths 7.236, 7.236, 6.813 Å; angles 57.92, 57.92, 90.00 degrees
Site moments in Bohr magnetons follow the coordinates.
Atoms (fractional coordinates):
1 Ba 0.000 0.000 0.000  0.08
2 Ba 0.750 0.250 0.500  0.08
3 Rb 0.500 0.500 0.000  0.02
4 Rb 0.250 0.750 0.500  0.02
5 N 0.669 0.125 0.250  0.94
6 N 0.081 0.625 0.250  0.96
7 N 0.375 0.331 0.750  0.95
8 N 0.875 0.919 0.750  0.97

---

[3]
A plane-wave DFT calculation with PBE-GGA was carried out for crystalline Ba12Ga3F5 at its relaxed geometry.

Properties
raw formation energy: -1.4623 eV per atom
VASP energy: -283.0 eV/cell

Cell lengths 15.730, 15.730, 15.730 Å; angles 109.47, 109.47, 109.47 degrees
Site moments in Bohr magnetons follow the coordinates.
Atoms (fractional coordinates):
1 Ga 0.750 0.375 0.125  -0.07
2 Ga 0.875 0.750 0.125  -0.07
3 Ga 0.375 0.750 0.625  -0.07
4 Ga 0.250 0.125 0.375  -0.07
5 Ga 0.875 0.125 0.250  -0.07
6 Ga 0.375 0.625 0.250  -0.07
7 Ga 0.625 0.375 0.750  -0.07
8 Ga 0.125 0.875 0.750  -0.07
9 Ga 0.750 0.875 0.625  -0.07
10 Ga 0.625 0.250 0.375  -0.07
11 Ga 0.125 0.250 0.875  -0.07
12 Ga 0.250 0.625 0.875  -0.07
13 F 0.125 0.375 0.250  0.01
14 F 0.000 0.500 0.000  0.01
15 F 0.000 0.000 0.000  0.01
16 F 0.375 0.250 0.125  0.01
17 F 0.500 0.000 0.500  0.01
18 F 0.500 0.500 0.000  0.01
19 F 0.125 0.750 0.375  0.01
20 F 0.750 0.125 0.875  0.01
21 F 0.750 0.625 0.375  0.01
22 F 0.375 0.125 0.750  0.01
23 F 0.625 0.875 0.250  0.01
24 F 0.500 0.500 0.500  0.01
25 F 0.500 0.000 0.000  0.01
26 F 0.000 0.000 0.500  0.01
27 F 0.250 0.375 0.625  0.01
28 F 0.250 0.875 0.125  0.01
29 F 0.000 0.500 0.500  0.01
30 F 0.875 0.250 0.625  0.01
31 F 0.625 0.750 0.875  0.01
32 F 0.875 0.625 0.750  0.01
33 Ba 0.712 0.122 0.026  0.06
34 Ba 0.314 0.526 0.405  0.06
35 Ba 0.974 0.378 0.288  0.06
36 Ba 0.526 0.212 0.122  0.06
37 Ba 0.591 0.712 0.686  0.06
38 Ba 0.974 0.595 0.186  0.06
39 Ba 0.314 0.788 0.409  0.06
40 Ba 0.095 0.909 0.122  0.06
41 Ba 0.595 0.974 0.686  0.06
42 Ba 0.712 0.591 0.186  0.06
43 Ba 0.788 0.474 0.378  0.06
44 Ba 0.814 0.905 0.026  0.06
45 Ba 0.122 0.712 0.526  0.06
46 Ba 0.378 0.405 0.091  0.06
47 Ba 0.091 0.905 0.378  0.06
48 Ba 0.409 0.122 0.595  0.06
49 Ba 0.091 0.186 0.212  0.06
50 Ba 0.474 0.686 0.095  0.06
51 Ba 0.814 0.909 0.288  0.06
52 Ba 0.122 0.409 0.095  0.06
53 Ba 0.378 0.974 0.788  0.06
54 Ba 0.595 0.622 0.409  0.06
55 Ba 0.905 0.814 0.526  0.06
56 Ba 0.788 0.314 0.909  0.06
57 Ba 0.405 0.378 0.591  0.06
58 Ba 0.095 0.186 0.474  0.06
59 Ba 0.212 0.686 0.091  0.06
60 Ba 0.186 0.091 0.712  0.06
61 Ba 0.622 0.026 0.212  0.06
62 Ba 0.878 0.591 0.905  0.06
63 Ba 0.526 0.314 0.905  0.06
64 Ba 0.591 0.878 0.405  0.06
65 Ba 0.909 0.814 0.788  0.06
66 Ba 0.909 0.095 0.622  0.06
67 Ba 0.878 0.288 0.474  0.06
68 Ba 0.186 0.095 0.974  0.06
69 Ba 0.622 0.595 0.909  0.06
70 Ba 0.405 0.026 0.314  0.06
71 Ba 0.288 0.409 0.814  0.06
72 Ba 0.212 0.526 0.622  0.06
73 Ba 0.905 0.091 0.878  0.06
74 Ba 0.686 0.212 0.591  0.06
75 Ba 0.474 0.788 0.878  0.06
76 Ba 0.026 0.405 0.814  0.06
77 Ba 0.409 0.288 0.314  0.06
78 Ba 0.026 0.622 0.712  0.06
79 Ba 0.686 0.474 0.595  0.06
80 Ba 0.288 0.878 0.974  0.06

---

[4]
A plane-wave DFT calculation with PBE-GGA was carried out for crystalline RbLiTl2Se2 at its relaxed geometry.

Properties
raw formation energy: -0.7608 eV per atom
VASP energy: -38.3 eV/cell

Cell lengths 4.468, 7.767, 11.137 Å; angles 90.00, 90.00, 90.00 degrees
Atoms (fractional coordinates):
1 Rb 0.000 0.028 0.473
2 Rb 0.000 0.528 0.527
3 Li 0.500 0.111 0.732
4 Li 0.500 0.611 0.268
5 Tl 0.500 0.988 0.123
6 Tl 0.000 0.370 0.145
7 Tl 0.500 0.488 0.877
8 Tl 0.000 0.870 0.855
9 Se 0.000 0.252 0.763
10 Se 0.500 0.297 0.325
11 Se 0.000 0.752 0.237
12 Se 0.500 0.797 0.675

---

[5]
A plane-wave DFT calculation with PBE-GGA was carried out for crystalline PmHo5Sc4 at its relaxed geometry.

Properties
excess energy over the best structure of this formula in the dataset: 49 meV/atom
VASP energy: -49.6 eV/cell
formation energy from the elements: 0.3364 eV/atom

Cell lengths 6.156, 7.583, 7.583 Å; angles 80.52, 66.05, 66.05 degrees
Atoms (fractional coordinates):
1 Pm 0.223 0.000 0.000
2 Ho 0.803 0.391 0.902
3 Ho 0.195 0.902 0.609
4 Ho 0.705 0.098 0.391
5 Ho 0.096 0.609 0.098
6 Ho 0.678 0.000 0.000
7 Sc 0.395 0.415 0.699
8 Sc 0.810 0.699 0.585
9 Sc 0.094 0.301 0.415
10 Sc 0.509 0.585 0.301

---

[6]
A plane-wave DFT calculation with PBE-GGA was carried out for crystalline KMgAs at its relaxed geometry.

Properties
VASP energy: -8.1 eV/cell
formation energy from the elements: -0.2639 eV/atom

Cell lengths 6.666, 6.666, 3.862 Å; angles 73.16, 73.16, 33.68 degrees
Atoms (fractional coordinates):
1 As 0.063 0.063 0.937
2 K 0.339 0.339 0.661
3 Mg 0.598 0.598 0.402

---

[7]
A plane-wave DFT calculation with PBE-GGA was carried out for crystalline TbSmN at its relaxed geometry.

Properties
raw formation energy: -0.9656 eV per atom
excess energy over the best structure of this formula in the dataset: 0 meV/atom
VASP energy: -20.6 eV/cell

Cell lengths 3.544, 3.544, 6.187 Å; angles 90.00, 90.00, 120.00 degrees
Site moments in Bohr magnetons follow the coordinates.
Atoms (fractional coordinates):
1 Tb 0.333 0.667 0.548  0.08
2 Sm 0.000 0.000 0.110  0.03
3 N 0.667 0.333 0.342  0.00

---

[8]
A plane-wave DFT calculation with PBE-GGA was carried out for crystalline ScBeCo3 at its relaxed geometry.

Properties
excess energy over the best structure of this formula in the dataset: 1565 meV/atom
VASP energy: -23.6 eV/cell
formation energy from the elements: 1.5610 eV/atom

Cell lengths 4.324, 4.324, 4.324 Å; angles 90.00, 90.00, 90.00 degrees
Site moments in Bohr magnetons follow the coordinates.
Atoms (fractional coordinates):
1 Sc 0.000 0.000 0.000  -0.20
2 Be 0.500 0.500 0.500  -0.03
3 Co 0.000 0.500 0.000  0.79
4 Co 0.000 0.000 0.500  1.02
5 Co 0.500 0.000 0.000  0.62

---

Number 1: mass density 4.30 g/cm³. Number 2: mass density 3.54 g/cm³. Number 3: mass density 4.33 g/cm³. Number 4: mass density 5.66 g/cm³. Number 5: mass density 6.45 g/cm³. Number 6: mass density 2.53 g/cm³. Number 7: mass density 7.98 g/cm³. Number 8: mass density 4.74 g/cm³.